ErInAg2, relaxed, DFT PBEsol; crystal system = cubic; energy of formation = -1.6 eV/f.u.
1.0
4.8228 0.0000 0.0000
2.4114 4.1767 0.0000
2.4114 1.3922 3.9378
In Er Ag
1 1 2
direct
0.5000 0.5000 0.5000 In
0.0000 0.0000 0.0000 Er
0.2500 0.2500 0.2500 Ag
0.7500 0.7500 0.7500 Ag